1.
The following is a GGA-PBE calculation of a geometry-optimized ScCuS2 structure, from Alexandria via LeMat-Bulk.

Lattice parameters (Å, degrees): 3.8089 3.8089 7.3198 74.92 74.92 60.00
Closest atoms and distances in Å follow each position.
Fractional positions:
Sc1 0.6768 0.6768 0.9695  3 S 2.51
Cu1 0.4426 0.4426 0.6721  3 S 2.22
S1 0.0949 0.0949 0.7153  3 Cu 2.22
S2 0.2856 0.2856 0.1431  3 Sc 2.51

As for the formation energy from raw total energies: -1159 meV per atom.

***

2.
The following is a GGA-PBE calculation of a geometry-optimized Zn3Co5H12 structure, from Alexandria via LeMat-Bulk.

Lattice parameters (Å, degrees): 8.9100 8.9100 8.9100 109.47 109.47 109.47
Closest atoms and distances in Å follow each position.
Fractional positions:
Zn1 0.7500 0.3750 0.1250  8 H 2.01
Zn2 0.8750 0.7500 0.1250  8 H 2.01
Zn3 0.3750 0.7500 0.6250  8 H 2.01
Zn4 0.2500 0.1250 0.3750  8 H 2.01
Zn5 0.8750 0.1250 0.2500  8 H 2.01
Zn6 0.3750 0.6250 0.2500  8 H 2.01
Zn7 0.6250 0.3750 0.7500  8 H 2.01
Zn8 0.1250 0.8750 0.7500  8 H 2.01
Zn9 0.7500 0.8750 0.6250  8 H 2.01
Zn10 0.6250 0.2500 0.3750  8 H 2.01
Zn11 0.1250 0.2500 0.8750  8 H 2.01
Zn12 0.2500 0.6250 0.8750  8 H 2.01
Co1 0.1250 0.3750 0.2500  4 H 1.59
Co2 0.0000 0.5000 0.0000  6 H 1.62
Co3 0.0000 0.0000 0.0000  6 H 1.62
Co4 0.3750 0.2500 0.1250  4 H 1.59
Co5 0.5000 0.0000 0.5000  6 H 1.62
Co6 0.5000 0.5000 0.0000  6 H 1.62
Co7 0.1250 0.7500 0.3750  4 H 1.59
Co8 0.7500 0.1250 0.8750  4 H 1.59
Co9 0.7500 0.6250 0.3750  4 H 1.59
Co10 0.3750 0.1250 0.7500  4 H 1.59
Co11 0.6250 0.8750 0.2500  4 H 1.59
Co12 0.5000 0.5000 0.5000  6 H 1.62
Co13 0.5000 0.0000 0.0000  6 H 1.62
Co14 0.0000 0.0000 0.5000  6 H 1.62
Co15 0.2500 0.3750 0.6250  4 H 1.59
Co16 0.2500 0.8750 0.1250  4 H 1.59
Co17 0.0000 0.5000 0.5000  6 H 1.62
Co18 0.8750 0.2500 0.6250  4 H 1.59
Co19 0.6250 0.7500 0.8750  4 H 1.59
Co20 0.8750 0.6250 0.7500  4 H 1.59
H1 0.7012 0.1148 0.0287  2 Co 1.59-1.62
H2 0.3275 0.5287 0.4139  2 Co 1.59-1.62
H3 0.9713 0.3852 0.2988  2 Co 1.59-1.62
H4 0.5287 0.2012 0.1148  2 Co 1.59-1.62
H5 0.5864 0.7012 0.6725  2 Co 1.59-1.62
H6 0.9713 0.5861 0.1725  2 Co 1.59-1.62
H7 0.3275 0.7988 0.4136  2 Co 1.59-1.62
H8 0.0861 0.9136 0.1148  2 Co 1.59-1.62
H9 0.5861 0.9713 0.6725  2 Co 1.59-1.62
H10 0.7012 0.5864 0.1725  2 Co 1.59-1.62
H11 0.7988 0.4713 0.3852  2 Co 1.59-1.62
H12 0.8275 0.9139 0.0287  2 Co 1.59-1.62
H13 0.1148 0.7012 0.5287  2 Co 1.59-1.62
H14 0.3852 0.4139 0.0864  2 Co 1.59-1.62
H15 0.0864 0.9139 0.3852  2 Co 1.59-1.62
H16 0.4136 0.1148 0.5861  2 Co 1.59-1.62
H17 0.0864 0.1725 0.2012  2 Co 1.59-1.62
H18 0.4713 0.6725 0.0861  2 Co 1.59-1.62
H19 0.8275 0.9136 0.2988  2 Co 1.59-1.62
H20 0.1148 0.4136 0.0861  2 Co 1.59-1.62
H21 0.3852 0.9713 0.7988  2 Co 1.59-1.62
H22 0.5861 0.6148 0.4136  2 Co 1.59-1.62
H23 0.9139 0.8275 0.5287  2 Co 1.59-1.62
H24 0.7988 0.3275 0.9136  2 Co 1.59-1.62
H25 0.4139 0.3852 0.5864  2 Co 1.59-1.62
H26 0.0861 0.1725 0.4713  2 Co 1.59-1.62
H27 0.2012 0.6725 0.0864  2 Co 1.59-1.62
H28 0.1725 0.0864 0.7012  2 Co 1.59-1.62
H29 0.6148 0.0287 0.2012  2 Co 1.59-1.62
H30 0.8852 0.5864 0.9139  2 Co 1.59-1.62
H31 0.5287 0.3275 0.9139  2 Co 1.59-1.62
H32 0.5864 0.8852 0.4139  2 Co 1.59-1.62
H33 0.9136 0.8275 0.7988  2 Co 1.59-1.62
H34 0.9136 0.0861 0.6148  2 Co 1.59-1.62
H35 0.8852 0.2988 0.4713  2 Co 1.59-1.62
H36 0.1725 0.0861 0.9713  2 Co 1.59-1.62
H37 0.6148 0.5861 0.9136  2 Co 1.59-1.62
H38 0.4139 0.0287 0.3275  2 Co 1.59-1.62
H39 0.2988 0.4136 0.8275  2 Co 1.59-1.62
H40 0.2012 0.5287 0.6148  2 Co 1.59-1.62
H41 0.9139 0.0864 0.8852  2 Co 1.59-1.62
H42 0.6725 0.2012 0.5864  2 Co 1.59-1.62
H43 0.4713 0.7988 0.8852  2 Co 1.59-1.62
H44 0.0287 0.4139 0.8275  2 Co 1.59-1.62
H45 0.4136 0.2988 0.3275  2 Co 1.59-1.62
H46 0.0287 0.6148 0.7012  2 Co 1.59-1.62
H47 0.6725 0.4713 0.5861  2 Co 1.59-1.62
H48 0.2988 0.8852 0.9713  2 Co 1.59-1.62

Its total DFT energy (no corrections) is -3.80 eV/atom.

***

3.
The following is a GGA-PBE calculation of a geometry-optimized Nd8Y6Sc structure, from Alexandria via LeMat-Bulk.

Lattice parameters (Å, degrees): 9.1575 9.1575 8.7364 58.39 58.39 60.00
Closest atoms and distances in Å follow each position.
Fractional positions:
Nd1 0.2447 0.2838 0.5837  3 Y 3.43-3.79, 5 Nd 3.46-3.50, 1 Sc 3.52
Nd2 0.7162 0.1121 0.4163  3 Y 3.43-3.79, 5 Nd 3.46-3.50, 1 Sc 3.52
Nd3 0.1121 0.7553 0.4163  3 Y 3.43-3.79, 5 Nd 3.46-3.50, 1 Sc 3.52
Nd4 0.5775 0.5775 0.2674  4 Nd 3.24-3.46, 3 Y 3.39
Nd5 0.4225 0.4225 0.7326  4 Nd 3.24-3.46, 3 Y 3.39
Nd6 0.8879 0.2447 0.5837  3 Y 3.43-3.79, 5 Nd 3.46-3.50, 1 Sc 3.52
Nd7 0.2838 0.8879 0.5837  3 Y 3.43-3.79, 5 Nd 3.46-3.50, 1 Sc 3.52
Nd8 0.7553 0.7162 0.4163  3 Y 3.43-3.79, 5 Nd 3.46-3.50, 1 Sc 3.52
Y1 0.4569 0.9038 0.8838  3 Nd 3.39-3.49, 1 Sc 3.48, 4 Y 3.61-3.75
Y2 0.0962 0.2445 0.1162  3 Nd 3.39-3.49, 1 Sc 3.48, 4 Y 3.61-3.75
Y3 0.2445 0.5431 0.1162  3 Nd 3.39-3.49, 1 Sc 3.48, 4 Y 3.61-3.75
Y4 0.7555 0.4569 0.8838  3 Nd 3.39-3.49, 1 Sc 3.48, 4 Y 3.61-3.75
Y5 0.9038 0.7555 0.8838  3 Nd 3.39-3.49, 1 Sc 3.48, 4 Y 3.61-3.75
Y6 0.5431 0.0962 0.1162  3 Nd 3.39-3.49, 1 Sc 3.48, 4 Y 3.61-3.75
Sc1 0.0000 0.0000 0.0000  6 Y 3.48, 6 Nd 3.52

The calculation puts the formation energy from the elements at 113 meV per atom.

***

4.
The following is a GGA-PBE calculation of a geometry-optimized BaEuGdSbO6 structure, from Alexandria via LeMat-Bulk.

Lattice parameters (Å, degrees): 6.0206 6.0206 6.0206 60.00 60.00 60.00
Closest atoms and distances in Å follow each position.
Fractional positions:
Ba1 0.2500 0.2500 0.2500  12 O 3.01
Eu1 0.7500 0.7500 0.7500  12 O 3.01
Gd1 0.0000 0.0000 0.0000  6 O 2.25
Sb1 0.5000 0.5000 0.5000  6 O 2.00
O1 0.2645 0.7355 0.2645  1 Sb 2.00
O2 0.7355 0.2645 0.7355  1 Sb 2.00
O3 0.2645 0.7355 0.7355  1 Sb 2.00
O4 0.7355 0.2645 0.2645  1 Sb 2.00
O5 0.2645 0.2645 0.7355  1 Sb 2.00
O6 0.7355 0.7355 0.2645  1 Sb 2.00

Its offset from the most stable computed form is 0.012 eV/atom. As for the formation energy from raw total energies: -2578 meV per atom.

***

5.
The following is a GGA-PBE calculation of a geometry-optimized RbSnSeCl structure, from Alexandria via LeMat-Bulk.

Lattice parameters (Å, degrees): 4.3624 4.3625 8.4506 90.00 104.96 120.00
Closest atoms and distances in Å follow each position.
Fractional positions:
Rb1 0.4617 0.1288 0.6059  3 Cl 3.23, 3 Se 3.54
Sn1 0.1210 0.9585 0.0947  3 Se 2.91
Se1 0.3335 0.5647 0.9134  3 Sn 2.91
Cl1 0.9617 0.3788 0.3557  3 Rb 3.23, 3 Sn 3.28

As for the formation energy from raw total energies: -1066 meV per atom.

***

6.
The following is a GGA-PBE calculation of a geometry-optimized TlSbTe2 structure, from Alexandria via LeMat-Bulk.

Lattice parameters (Å, degrees): 7.0355 7.0355 4.7696 89.30 89.30 37.11
Closest atoms and distances in Å follow each position.
Fractional positions:
Sb1 0.2306 0.2306 0.0694  3 Te 2.74-3.02
Tl1 0.4885 0.4885 0.6382  5 Te 3.29-3.54
Te1 0.0268 0.0268 0.1424  1 Sb 2.74
Te2 0.7541 0.7541 0.6499  2 Sb 3.02

Its offset from the most stable computed form is 0.068 eV/atom. As for the formation energy from raw total energies: -162 meV per atom.

***

7.
The following is a GGA-PBE calculation of a geometry-optimized Ca2MnBi structure, from Alexandria via LeMat-Bulk.

Lattice parameters (Å, degrees): 10.6230 10.6230 7.9361 47.99 47.99 90.00
Closest atoms and distances in Å follow each position.
Fractional positions:
Ca1 0.4638 0.1250 0.2500  2 Mn 2.89
Ca2 0.2862 0.6250 0.2500  2 Mn 2.89
Ca3 0.3750 0.5362 0.7500  2 Mn 2.89
Ca4 0.8750 0.7138 0.7500  2 Mn 2.89
Mn1 0.5000 0.5000 0.0000  2 Bi 2.56
Mn2 0.2500 0.7500 0.5000  2 Bi 2.56
Bi1 0.0000 0.0000 0.0000  2 Mn 2.56
Bi2 0.7500 0.2500 0.5000  2 Mn 2.56

The calculation puts the formation energy from the elements at 251 meV per atom.

***

8.
The following is a GGA-PBE calculation of a geometry-optimized YSi7Ir3 structure, from Alexandria via LeMat-Bulk.

Lattice parameters (Å, degrees): 7.6235 7.6235 8.0548 61.76 61.76 60.00
Closest atoms and distances in Å follow each position.
Fractional positions:
Y1 0.5000 0.5000 0.5000  6 Ir 3.09, 12 Si 3.16-3.20
Y2 0.0000 0.0000 0.0000  6 Ir 3.09, 12 Si 3.16-3.20
Si1 0.6727 0.0640 0.4129  3 Ir 2.47-2.53, 3 Si 2.59-2.72
Si2 0.0640 0.8503 0.4129  3 Ir 2.47-2.53, 3 Si 2.59-2.72
Si3 0.8503 0.6727 0.4129  3 Ir 2.47-2.53, 3 Si 2.59-2.72
Si4 0.8273 0.6497 0.0871  3 Ir 2.47-2.53, 3 Si 2.59-2.72
Si5 0.4360 0.8273 0.0871  3 Ir 2.47-2.53, 3 Si 2.59-2.72
Si6 0.6497 0.4360 0.0871  3 Ir 2.47-2.53, 3 Si 2.59-2.72
Si7 0.3273 0.9360 0.5871  3 Ir 2.47-2.53, 3 Si 2.59-2.72
Si8 0.9360 0.1497 0.5871  3 Ir 2.47-2.53, 3 Si 2.59-2.72
Si9 0.1497 0.3273 0.5871  3 Ir 2.47-2.53, 3 Si 2.59-2.72
Si10 0.1727 0.3503 0.9129  3 Ir 2.47-2.53, 3 Si 2.59-2.72
Si11 0.5640 0.1727 0.9129  3 Ir 2.47-2.53, 3 Si 2.59-2.72
Si12 0.3503 0.5640 0.9129  3 Ir 2.47-2.53, 3 Si 2.59-2.72
Si13 0.7500 0.7500 0.7500  3 Ir 2.44, 6 Si 2.72
Si14 0.2500 0.2500 0.2500  3 Ir 2.44, 6 Si 2.72
Ir1 0.4296 0.0704 0.7500  7 Si 2.44-2.53
Ir2 0.0704 0.7500 0.7500  7 Si 2.44-2.53
Ir3 0.7500 0.4296 0.7500  7 Si 2.44-2.53
Ir4 0.5704 0.9296 0.2500  7 Si 2.44-2.53
Ir5 0.9296 0.2500 0.2500  7 Si 2.44-2.53
Ir6 0.2500 0.5704 0.2500  7 Si 2.44-2.53

As for the formation energy from raw total energies: -720 meV per atom.

***

no.,magnetic moment (μB per cell)
1,0.00
2,0.00
3,0.00
4,0.00
5,0.00
6,0.00
7,4.17
8,0.00